--- one ---
Below is a geometry-optimized Pm7NdHo2 structure, with properties calculated at the GGA-PBE level.

magnetic moment: 0.000 Bohr magnetons per cell
calculated volume: 412.6 Å³ per cell

a b c (Å): 9.226 9.226 5.731
angles (deg): 90.00 90.00 122.25
Fractional coordinates of all 10 atoms:
Pm 0.000 0.000 0.000
Pm 0.205 0.437 0.000
Pm 0.273 0.727 0.500
Pm 0.437 0.205 0.000
Pm 0.563 0.795 0.000
Pm 0.727 0.273 0.500
Pm 0.795 0.563 0.000
Nd 0.500 0.500 0.500
Ho 0.204 0.796 0.000
Ho 0.796 0.204 0.000

--- two ---
Below is a geometry-optimized Pm7NdHo2 structure, with properties calculated at the GGA-PBE level.

magnetic moment: 0.000 Bohr magnetons per cell
calculated volume: 359.8 Å³ per cell

a b c (Å): 10.421 10.421 3.508
angles (deg): 90.00 90.00 109.19
Fractional coordinates of all 10 atoms:
Pm 0.000 0.000 0.000
Pm 0.112 0.375 0.000
Pm 0.176 0.824 0.500
Pm 0.375 0.112 0.000
Pm 0.625 0.888 0.000
Pm 0.824 0.176 0.500
Pm 0.888 0.625 0.000
Nd 0.500 0.500 0.500
Ho 0.331 0.669 0.000
Ho 0.669 0.331 0.000

Preferred: two; penalty for the next structure: 262 meV per atom.